A plane-wave DFT calculation with PBE-GGA was carried out for a geometry-optimized AlMo5W6 structure.

Structure (POSCAR):
```
AlMo5W6
1.0
-2.473 -2.874 2.379
-4.489 0.128 -4.512
6.458 -3.762 -2.041
Mo W Al
5 6 1
Cartesian
1.980 -3.415 -2.066 Mo
-2.484 -3.092 -2.107 Mo
-2.244 0.064 -2.256 Mo
-0.271 -3.102 0.182 Mo
-0.233 -3.406 -4.355 Mo
-2.384 -1.404 0.036 W
-4.578 -1.342 -2.168 W
1.848 -4.871 0.249 W
-2.352 -1.637 -4.422 W
-0.128 -1.700 -2.186 W
-0.376 -4.807 -1.987 W
0.000 0.000 0.000 Al
```

Computed properties:
- calculated total energy (eV per atom) = -11.29
- mass density (g/cm3) = 14.0
- formation energy from the elements (eV/atom) = 0.015
- space group = Immm (71)
- magnetization (μB/atom) = 0.000